! BaCd2Ir PBE-GGA relaxed; values from VASP
&SYSTEM
  ibrav = 0, nat = 4, ntyp = 3
/
ATOMIC_SPECIES
Ba 137.33 Ba.upf
Cd 112.41 Cd.upf
Ir 192.22 Ir.upf
CELL_PARAMETERS angstrom
-1.658 2.716 5.763
1.658 -2.716 5.763
1.658 2.716 -5.763
ATOMIC_POSITIONS crystal
Ba 0.000 0.000 0.000
Cd 0.302 0.802 0.500
Cd 0.698 0.198 0.500
Ir 0.500 0.500 0.000
! Volume (Å³/f.u.): 103.8
! ΔH_f (0 K) (eV per atom): 0.0179
! Spin magnetization (Bohr magnetons per cell): 0.0